# 1
# Be3NbSe (GGA-PBE, relaxed)
data_Be3NbSe
_cell_length_a 4.514
_cell_length_b 4.514
_cell_length_c 4.514
_cell_angle_alpha 90.00
_cell_angle_beta 90.00
_cell_angle_gamma 90.00
_space_group_name_H-M_alt 'P m -3 m'
_space_group_IT_number 221
_space_group_name_Hall '-P 4 2 3'
loop_
_atom_site_label
_atom_site_fract_x
_atom_site_fract_y
_atom_site_fract_z
Be1 0.000 0.000 0.500
Nb1 0.000 0.000 0.000
Se1 0.500 0.500 0.500
# ΔE_f (raw) in eV/f.u.: 8.01
# Polymorph energy (0 for the lowest one) in meV/atom: 511
# Crystal system: cubic

***

# 2
# KSnH (GGA-PBE, relaxed)
data_KSnH
_cell_length_a 3.585
_cell_length_b 3.585
_cell_length_c 12.230
_cell_angle_alpha 90.00
_cell_angle_beta 90.00
_cell_angle_gamma 90.00
_space_group_name_H-M_alt 'I 4 m m'
_space_group_IT_number 107
_space_group_name_Hall 'I 4 -2'
loop_
_atom_site_label
_atom_site_fract_x
_atom_site_fract_y
_atom_site_fract_z
K1 0.000 0.000 0.000
Sn1 0.000 0.000 0.279
H1 0.000 0.000 0.434
# Polymorph energy (0 for the lowest one) in meV/atom: 201
# Crystal system: tetragonal

***

# 3
# SmAl4Rh (GGA-PBE, relaxed)
data_SmAl4Rh
_cell_length_a 4.491
_cell_length_b 7.232
_cell_length_c 7.971
_cell_angle_alpha 65.65
_cell_angle_beta 73.70
_cell_angle_gamma 89.93
_space_group_name_H-M_alt 'P -1'
_space_group_IT_number 2
_space_group_name_Hall '-P 1'
loop_
_atom_site_label
_atom_site_fract_x
_atom_site_fract_y
_atom_site_fract_z
Sm1 0.000 0.000 0.000
Sm2 0.500 0.500 0.000
Al1 0.070 0.452 0.729
Al2 0.240 0.829 0.656
Al3 0.300 0.048 0.272
Al4 0.396 0.671 0.345
Rh1 0.175 0.249 0.501
# Crystal system: triclinic

***

Final energy (eV/atom)
-3.34 -2.81 -5.03